No. 1
## Nd2ErTm3Bi6 (GGA-PBE)

Data for a relaxed structure of Nd2ErTm3Bi6.

Computed properties:
- Theoretical density: 9.5 Mg/m³
- Total DFT energy (no corrections): -121.7 eV for the cell shown
- Formation energy: -0.837 eV per atom

Cell and atoms, written as CIF:
```
data_Nd2ErTm3Bi6
_chemical_formula_sum 'Nd4 Er2 Tm6 Bi12'
_cell_length_a 19.584
_cell_length_b 4.498
_cell_length_c 8.988
_cell_angle_alpha 90.00
_cell_angle_beta 103.17
_cell_angle_gamma 90.00
_symmetry_space_group_name_H-M 'C 1 2/m 1'
_symmetry_Int_Tables_number 12
loop_
_symmetry_equiv_pos_as_xyz
'x,y,z'
'-x,-y,-z'
'-x,y,-z'
'x,-y,z'
'x+1/2,y+1/2,z'
'-x+1/2,-y+1/2,-z'
'-x+1/2,y+1/2,-z'
'x+1/2,-y+1/2,z'
loop_
_atom_site_label
_atom_site_type_symbol
_atom_site_fract_x
_atom_site_fract_y
_atom_site_fract_z
Nd1 Nd 0.166 0.000 0.332
Er1 Er 0.000 0.500 0.000
Tm1 Tm 0.000 0.500 0.500
Tm2 Tm 0.169 0.000 0.834
Bi1 Bi 0.004 0.000 0.751
Bi2 Bi 0.164 0.500 0.590
Bi3 Bi 0.166 0.500 0.074
```

---

No. 2
## NdY3Er2Bi6 (GGA-PBE)

Data for a relaxed structure of NdY3Er2Bi6.

Computed properties:
- Theoretical density: 8.6 Mg/m³
- Total DFT energy (no corrections): -134.1 eV for the cell shown
- Formation energy: -0.874 eV per atom

Cell and atoms, written as CIF:
```
data_NdY3Er2Bi6
_chemical_formula_sum 'Nd2 Y6 Er4 Bi12'
_cell_length_a 7.783
_cell_length_b 13.485
_cell_length_c 7.780
_cell_angle_alpha 90.00
_cell_angle_beta 109.49
_cell_angle_gamma 90.00
_symmetry_space_group_name_H-M 'C 1 2/m 1'
_symmetry_Int_Tables_number 12
loop_
_symmetry_equiv_pos_as_xyz
'x,y,z'
'-x,-y,-z'
'-x,y,-z'
'x,-y,z'
'x+1/2,y+1/2,z'
'-x+1/2,-y+1/2,-z'
'-x+1/2,y+1/2,-z'
'x+1/2,-y+1/2,z'
loop_
_atom_site_label
_atom_site_type_symbol
_atom_site_fract_x
_atom_site_fract_y
_atom_site_fract_z
Nd1 Nd 0.000 0.000 0.000
Y1 Y 0.000 0.164 0.500
Y2 Y 0.000 0.500 0.500
Er1 Er 0.000 0.332 0.000
Bi1 Bi 0.243 0.500 0.249
Bi2 Bi 0.246 0.330 0.748
```

---

No. 3
## Nd2YErBi5 (GGA-PBE)

Data for a relaxed structure of Nd2YErBi5.

Computed properties:
- Theoretical density: 7.6 Mg/m³
- Total DFT energy (no corrections): -41.3 eV for the cell shown
- Formation energy: -0.146 eV per atom

Cell and atoms, written as CIF:
```
data_Nd2YErBi5
_chemical_formula_sum 'Nd2 Y1 Er1 Bi5'
_cell_length_a 5.405
_cell_length_b 5.405
_cell_length_c 11.922
_cell_angle_alpha 90.00
_cell_angle_beta 90.00
_cell_angle_gamma 90.00
_symmetry_space_group_name_H-M 'P 4/m m m'
_symmetry_Int_Tables_number 123
_symmetry_space_group_name_Hall '-P 4 2'
loop_
_atom_site_label
_atom_site_type_symbol
_atom_site_fract_x
_atom_site_fract_y
_atom_site_fract_z
Nd1 Nd 0.000 0.000 0.226
Y1 Y 0.500 0.500 0.500
Er1 Er 0.500 0.500 0.000
Bi1 Bi 0.000 0.000 0.500
Bi2 Bi 0.000 0.500 0.000
Bi3 Bi 0.500 0.500 0.253
```

---

No. 4
## NdY2Er3Bi6 (GGA-PBE)

Data for a relaxed structure of NdY2Er3Bi6.

Computed properties:
- Theoretical density: 9.0 Mg/m³
- Total DFT energy (no corrections): -130.0 eV for the cell shown
- Formation energy: -0.861 eV per atom

Cell and atoms, written as CIF:
```
data_NdY2Er3Bi6
_chemical_formula_sum 'Nd2 Y4 Er6 Bi12'
_cell_length_a 19.554
_cell_length_b 4.488
_cell_length_c 8.974
_cell_angle_alpha 90.00
_cell_angle_beta 103.20
_cell_angle_gamma 90.00
_symmetry_space_group_name_H-M 'C 1 2/m 1'
_symmetry_Int_Tables_number 12
loop_
_symmetry_equiv_pos_as_xyz
'x,y,z'
'-x,-y,-z'
'-x,y,-z'
'x,-y,z'
'x+1/2,y+1/2,z'
'-x+1/2,-y+1/2,-z'
'-x+1/2,y+1/2,-z'
'x+1/2,-y+1/2,z'
loop_
_atom_site_label
_atom_site_type_symbol
_atom_site_fract_x
_atom_site_fract_y
_atom_site_fract_z
Nd1 Nd 0.000 0.000 0.000
Y1 Y 0.167 0.500 0.334
Er1 Er 0.000 0.000 0.500
Er2 Er 0.165 0.500 0.832
Bi1 Bi 0.000 0.500 0.258
Bi2 Bi 0.166 0.000 0.585
Bi3 Bi 0.170 0.000 0.083
```

---

Q: The highest theoretical density belongs to which entry?
A: Nd2ErTm3Bi6